(i)
A plane-wave DFT calculation with SCAN was carried out for a crystal of KCr2W relaxed with PBEsol.

The space group is P2/m (No. 10) and the conventional cell measures 2.7267, 4.1230 and 7.1983 Å, with angles of 90.00, 90.19 and 90.00 degrees. The distinct sites, in fractional coordinates, are K at (0.0000, 0.0000, 0.0000), Cr at (0.1113, 0.5000, 0.3677) and W at (0.5000, 0.0000, 0.5000).

The value obtained for the calculated density is 6.71 Mg/m³.


(ii)
A plane-wave DFT calculation with SCAN was carried out for a crystal of KCr2W relaxed with PBEsol.

The space group is P4/mmm (No. 123) and the conventional cell measures 5.0732, 5.0732 and 2.8059 Å, with angles of 90.00, 90.00 and 90.00 degrees. The distinct sites, in fractional coordinates, are K at (0.0000, 0.0000, 0.0000), Cr at (0.0000, 0.5000, 0.5000) and W at (0.5000, 0.5000, 0.0000).

The value obtained for the calculated density is 7.52 Mg/m³.


Relative energies in kJ/mol of atoms: (i) 0.0; (ii) 27.0